DFT (meta-GGA SCAN) results for a crystal of SrBeP2C relaxed with PBEsol.

Output
- Magnetization: 0.0 μB/f.u.
- VASP energy: -0.8154 Ry per atom

Cell: 4.9212 4.9212 3.3553 Å, 90.00 90.00 90.00°
Closest atoms and distances in Å follow each position.
Positions (direct):
Sr  0.0000  0.0000  0.0000  8 P 2.98
Be  0.5000  0.5000  0.0000  2 C 1.68
P  0.0000  0.5000  0.5000  2 C 2.46
P  0.5000  0.0000  0.5000  2 C 2.46
C  0.5000  0.5000  0.5000  2 Be 1.68